DFT (PBE) results for a relaxed SrYCl crystal.

Cell and atoms, written as CIF:
```
data_SrYCl
_cell_length_a 7.275
_cell_length_b 7.275
_cell_length_c 7.275
_cell_angle_alpha 90.00
_cell_angle_beta 90.00
_cell_angle_gamma 90.00
_symmetry_space_group_name_H-M 'F -4 3 m'
_symmetry_Int_Tables_number 216
_symmetry_space_group_name_Hall 'F -4 2 3'
loop_
_atom_site_label
_atom_site_fract_x
_atom_site_fract_y
_atom_site_fract_z
Sr1 0.000 0.000 0.000
Y1 0.000 0.000 0.500
Cl1 0.250 0.250 0.750
```

Calculated values
For the calculated volume, the calculation gives 385.1 Å³/cell. The calculation puts the relative energy among the computed polymorphs at 576.8 meV/atom. The total energy comes out at -0.134 hartree per atom. As for the density: 3.66 g/cm³. As for the raw formation energy: -326.3 meV per atom. The value obtained for the total magnetization is 0.661 μB per atom.